# ScFeNiPb

ScFeNiPb after structural relaxation (PBE, OQMD).

a b c (Å): 6.4815 6.4815 6.4815
angles (deg): 90.00 90.00 90.00
Closest atoms and distances in Å follow each position.
Space group F-43m (No. 216)
Unique sites:
Sc  0.0000  0.0000  0.0000 x4  4 Pb 2.81, 4 Fe 2.81
Fe  0.2500  0.2500  0.2500 x4  4 Ni 2.81, 4 Sc 2.81
Ni  0.0000  0.0000  0.5000 x4  4 Pb 2.81, 4 Fe 2.81
Pb  0.2500  0.2500  0.7500 x4  4 Ni 2.81, 4 Sc 2.81

Its mass density is 8.945 Mg/m³. For the polymorph energy (0 for the lowest one), the calculation gives 0.196 eV/atom.

---

# Cs2PrTmO4

Cs2PrTmO4 after structural relaxation (PBE, OQMD).

a b c (Å): 3.5755 3.5755 13.6237
angles (deg): 90.00 90.00 120.00
Closest atoms and distances in Å follow each position.
Space group P-3m1 (No. 164)
Unique sites:
Cs  0.3333  0.6667  0.2447 x2  6 O 3.04-3.06
Pr  0.0000  0.0000  0.5000 x1  6 O 2.41
Tm  0.0000  0.0000  0.0000 x1  6 O 2.33
O  0.3333  0.6667  0.5916 x2  3 Pr 2.41
O  0.3333  0.6667  0.9214 x2  3 Tm 2.33

Its mass density is 7.042 Mg/m³.

---

# YTmCo2B2C2

YTmCo2B2C2 after structural relaxation (PBE, OQMD).

a b c (Å): 3.5230 3.5230 7.6375
angles (deg): 90.00 90.00 90.00
Closest atoms and distances in Å follow each position.
Space group P4mm (No. 99)
Unique sites:
Y  0.0000  0.0000  0.0000 x1  5 C 2.43-2.49
Tm  0.5000  0.5000  0.6700 x1  5 C 2.40-2.49
Co  0.0000  0.5000  0.3354 x2  4 B 2.10-2.11
B  0.0000  0.0000  0.4854 x1  1 C 1.50
B  0.5000  0.5000  0.1825 x1  1 C 1.51
C  0.0000  0.0000  0.6823 x1  1 B 1.50
C  0.5000  0.5000  0.9846 x1  1 B 1.51

Its mass density is 7.381 Mg/m³.

---

# SrPrPb2

SrPrPb2 after structural relaxation (PBE, OQMD).

a b c (Å): 4.5412 4.9194 12.2087
angles (deg): 90.00 90.00 90.00
Closest atoms and distances in Å follow each position.
Space group Amm2 (No. 38)
Unique sites:
Sr  0.0000  0.0000  0.0000 x2  7 Pb 3.33-3.71
Pr  0.5000  0.0000  0.2679 x2  7 Pb 3.38-3.65
Pb  0.0000  0.0000  0.7272 x2  2 Pb 3.16, 1 Sr 3.33, 4 Pr 3.38
Pb  0.5000  0.0000  0.5466 x2  2 Pb 3.16, 4 Sr 3.40, 1 Pr 3.40

Its mass density is 7.829 Mg/m³.

---

# CoNi

CoNi after structural relaxation (PBE, OQMD).

a b c (Å): 4.5735 4.5735 7.4328
angles (deg): 90.00 90.00 120.00
Closest atoms and distances in Å follow each position.
Space group P6_3/mmc (No. 194)
Unique sites:
Co  0.0000  0.0000  0.0000 x2  6 Ni 2.30
Co  0.3333  0.6667  0.0692 x4  9 Ni 2.65-2.70, 7 Co 2.69-2.83
Ni  0.1706  0.3413  0.7500 x6  4 Ni 2.23-2.34, 2 Co 2.30

Its mass density is 8.704 Mg/m³. Its formation energy is 0.4 eV/f.u.

---

# HfMgCu2

HfMgCu2 after structural relaxation (PBE, OQMD).

a b c (Å): 6.2844 6.2844 6.2844
angles (deg): 90.00 90.00 90.00
Closest atoms and distances in Å follow each position.
Space group F-43m (No. 216)
Unique sites:
Hf  0.0000  0.0000  0.0000 x4  4 Mg 2.72, 4 Cu 2.72
Mg  0.2500  0.2500  0.7500 x4  4 Hf 2.72, 4 Cu 2.72
Cu  0.0000  0.0000  0.5000 x4  4 Mg 2.72, 4 Cu 2.72
Cu  0.2500  0.2500  0.2500 x4  4 Hf 2.72, 4 Cu 2.72

Its mass density is 8.828 Mg/m³.

---

# BaTmPO

BaTmPO after structural relaxation (PBE, OQMD).

a b c (Å): 5.4689 5.4689 6.1581
angles (deg): 90.00 90.00 90.00
Closest atoms and distances in Å follow each position.
Space group P4/nmm (No. 129, origin choice 2)
Unique sites:
Ba  0.2500  0.2500  0.0017 x2  4 O 2.73
Tm  0.2500  0.7500  0.5000 x2  4 P 2.73
P  0.2500  0.2500  0.5022 x2  4 Tm 2.73
O  0.2500  0.7500  0.0000 x2  4 Ba 2.73

Its mass density is 6.369 Mg/m³. For the polymorph energy (0 for the lowest one), the calculation gives 0.297 eV/atom.

---

# TlCu3PbSe4

TlCu3PbSe4 after structural relaxation (PBE, OQMD).

a b c (Å): 6.1944 6.1944 6.1944
angles (deg): 90.00 90.00 90.00
Closest atoms and distances in Å follow each position.
Space group P-43m (No. 215)
Unique sites:
Tl  0.0000  0.0000  0.0000 x1  4 Se 2.67
Cu  0.0000  0.5000  0.5000 x3  4 Se 2.69
Pb  0.5000  0.5000  0.5000 x1  4 Se 2.70
Se  0.2486  0.2486  0.2486 x4  1 Tl 2.67, 3 Cu 2.69, 1 Pb 2.70

Its mass density is 6.414 Mg/m³.

---

# KSnHgTe3

KSnHgTe3 after structural relaxation (PBE, OQMD).

a b c (Å): 4.5202 15.3860 11.9910
angles (deg): 90.00 90.00 90.00
Closest atoms and distances in Å follow each position.
Space group Cmcm (No. 63)
Unique sites:
K  0.0000  0.2476  0.2500 x4  8 Te 3.64-3.83, 2 Hg 3.75
Sn  0.0000  0.5000  0.0000 x4  6 Te 3.14-3.15
Hg  0.0000  0.0582  0.7500 x4  4 Te 2.84-2.92
Te  0.0000  0.1385  0.5371 x8  1 Hg 2.84, 2 Sn 3.14
Te  0.0000  0.4378  0.7500 x4  2 Hg 2.92, 2 Sn 3.15

Its mass density is 5.903 Mg/m³.

---

# TcSbNO

TcSbNO after structural relaxation (PBE, OQMD).

a b c (Å): 6.1478 7.2767 4.9889
angles (deg): 90.00 90.00 90.00
Closest atoms and distances in Å follow each position.
Space group Pca2_1 (No. 29)
Unique sites:
Tc  0.1634  0.1543  0.0000 x4  1 N 1.91, 2 O 2.05-2.06
Sb  0.0545  0.6684  0.9437 x4  2 N 2.16-2.18
N  0.0047  0.3797  0.0196 x4  1 Tc 1.91
O  0.1192  0.9800  0.6785 x4  3 Tc 2.05-2.18

Its mass density is 7.433 Mg/m³. For the polymorph energy (0 for the lowest one), the calculation gives 0.067 eV/atom.

---

# GdTmCd2

GdTmCd2 after structural relaxation (PBE, OQMD).

a b c (Å): 5.2615 6.7949 11.6108
angles (deg): 90.00 90.00 90.00
Closest atoms and distances in Å follow each position.
Space group Amm2 (No. 38)
Unique sites:
Gd  0.0000  0.0000  0.0000 x2  8 Cd 3.28-3.40, 4 Tm 3.35-3.38
Gd  0.5000  0.0000  0.3430 x2  8 Cd 3.18-3.43, 4 Tm 3.37
Tm  0.0000  0.2396  0.7449 x4  6 Cd 3.19-3.42, 2 Tm 3.26-3.54, 4 Gd 3.35-3.38
Cd  0.0000  0.0000  0.4968 x2  4 Gd 3.18-3.40, 4 Cd 3.28, 4 Tm 3.31-3.42
Cd  0.5000  0.0000  0.8317 x2  4 Tm 3.25, 4 Cd 3.26-3.47, 4 Gd 3.28-3.40
Cd  0.5000  0.2413  0.5893 x4  2 Tm 3.19, 6 Cd 3.26-3.52, 4 Gd 3.30-3.43

Its mass density is 8.817 Mg/m³. Its formation energy is -0.8 eV/f.u. For the polymorph energy (0 for the lowest one), the calculation gives 0.135 eV/atom.

---

# KLi8Cd2

KLi8Cd2 after structural relaxation (PBE, OQMD).

a b c (Å): 8.1112 4.6849 11.6303
angles (deg): 90.00 103.34 90.00
Closest atoms and distances in Å follow each position.
Space group C2/m (No. 12)
Unique sites:
K  0.0000  0.0000  0.0000 x2  8 Li 3.14-3.34
Li  0.0983  0.0000  0.2954 x4  4 Li 2.62-2.78, 3 Cd 2.85
Li  0.1198  0.5000  0.8587 x4  1 Cd 2.64, 3 Li 2.92-2.93
Li  0.1758  0.0000  0.5272 x4  5 Li 2.62-2.78, 3 Cd 2.92-2.93
Li  0.2464  0.5000  0.2398 x4  7 Li 2.64-2.93
Cd  0.0420  0.5000  0.6255 x4  7 Li 2.64-2.93, 1 Cd 2.84

Its mass density is 2.467 Mg/m³.

---

# HoTmTa2Si2

HoTmTa2Si2 after structural relaxation (PBE, OQMD).

a b c (Å): 3.9853 3.9853 7.6745
angles (deg): 90.00 90.00 90.00
Closest atoms and distances in Å follow each position.
Space group P4mm (No. 99)
Unique sites:
Ho  0.0000  0.0000  0.0000 x1  5 Si 2.95-3.08
Tm  0.5000  0.5000  0.2932 x1  5 Si 2.94-3.11
Ta  0.0000  0.5000  0.6450 x2  4 Si 2.73, 4 Ta 2.82
Si  0.0000  0.0000  0.4018 x1  4 Ta 2.73, 4 Tm 2.94
Si  0.5000  0.5000  0.8882 x1  4 Ta 2.73, 4 Ho 2.95

Its mass density is 10.244 Mg/m³.

---

# Sr2CdPt2

Sr2CdPt2 after structural relaxation (PBE, OQMD).

a b c (Å): 10.4594 5.9352 8.4959
angles (deg): 90.00 104.39 90.00
Closest atoms and distances in Å follow each position.
Space group C2/c (No. 15)
Unique sites:
Sr  0.1478  0.1470  0.1472 x8  6 Pt 3.18-3.33, 1 Cd 3.49
Cd  0.0000  0.3669  0.7500 x4  4 Pt 2.81-2.84
Pt  0.1395  0.3555  0.5075 x8  1 Pt 2.66, 2 Cd 2.81-2.84

Its mass density is 8.813 Mg/m³.

---

# YTmNi2B2C2

YTmNi2B2C2 after structural relaxation (PBE, OQMD).

a b c (Å): 3.5619 3.5619 7.5301
angles (deg): 90.00 90.00 90.00
Closest atoms and distances in Å follow each position.
Space group P4mm (No. 99)
Unique sites:
Y  0.0000  0.0000  0.0000 x1  5 C 2.41-2.52
Tm  0.5000  0.5000  0.6695 x1  5 C 2.41-2.52
Ni  0.0000  0.5000  0.3349 x2  4 B 2.10
B  0.0000  0.0000  0.4817 x1  1 C 1.49
B  0.5000  0.5000  0.1876 x1  1 C 1.49
C  0.0000  0.0000  0.6796 x1  1 B 1.49
C  0.5000  0.5000  0.9893 x1  1 B 1.49

Its mass density is 7.315 Mg/m³.

---

# HoErIr2C3

HoErIr2C3 after structural relaxation (PBE, OQMD).

a b c (Å): 11.3811 3.4325 5.2393
angles (deg): 90.00 105.23 90.00
Closest atoms and distances in Å follow each position.
Space group Cm (No. 8)
Unique sites:
Ho  0.0000  0.0000  0.0000 x2  5 C 2.46-2.57
Er  0.2505  0.5000  0.3651 x2  5 C 2.46-2.56
Ir  0.0071  0.5000  0.5102 x2  3 C 1.94-2.08
Ir  0.2440  0.0000  0.8547 x2  3 C 1.94-2.07
C  0.1043  0.0000  0.4760 x2  3 Ir 2.08-2.19
C  0.1471  0.5000  0.8898 x2  3 Ir 2.07-2.20
C  0.3748  0.0000  0.6802 x2  2 Ir 1.94

Its mass density is 12.657 Mg/m³.

---

# PrNdAg2Ge2

PrNdAg2Ge2 after structural relaxation (PBE, OQMD).

a b c (Å): 4.5754 4.5754 7.7248
angles (deg): 90.00 90.00 120.00
Closest atoms and distances in Å follow each position.
Space group P3m1 (No. 156)
Unique sites:
Pr  0.0000  0.0000  0.0000 x1  6 Ge 3.13-3.45, 6 Ag 3.19-3.39
Nd  0.0000  0.0000  0.5005 x1  6 Ge 3.11-3.43, 6 Ag 3.16-3.36
Ag  0.3333  0.6667  0.2318 x1  3 Ge 2.68
Ag  0.6667  0.3333  0.7252 x1  3 Ge 2.68
Ge  0.3333  0.6667  0.7834 x1  3 Ag 2.68
Ge  0.6667  0.3333  0.2872 x1  3 Ag 2.68

Its mass density is 7.662 Mg/m³.

---

# CdGeSO

CdGeSO after structural relaxation (PBE, OQMD).

a b c (Å): 4.2058 4.2058 7.7935
angles (deg): 90.00 90.00 90.00
Closest atoms and distances in Å follow each position.
Space group P4/nmm (No. 129, origin choice 2)
Unique sites:
Cd  0.2500  0.2500  0.1634 x2  1 S 2.64, 1 Ge 2.71
Ge  0.2500  0.2500  0.5117 x2  4 O 2.10
S  0.2500  0.2500  0.8253 x2  1 Ge 2.44, 1 Cd 2.64
O  0.2500  0.7500  0.5000 x2  4 Ge 2.10

Its mass density is 5.616 Mg/m³. For the polymorph energy (0 for the lowest one), the calculation gives 0.268 eV/atom.

---

# ZrZn22

ZrZn22 after structural relaxation (PBE, OQMD).

a b c (Å): 14.0717 14.0717 14.0717
angles (deg): 90.00 90.00 90.00
Closest atoms and distances in Å follow each position.
Space group Fd-3m (No. 227, origin choice 2)
Unique sites:
Zr  0.1250  0.1250  0.1250 x8  16 Zn 3.01-3.05
Zn  0.0000  0.0000  0.0000 x16  12 Zn 2.95, 2 Zr 3.05
Zn  0.0000  0.0000  0.5000 x16  6 Zn 2.50
Zn  0.0144  0.3750  0.8750 x48  8 Zn 2.50-2.77
Zn  0.0616  0.0616  0.3191 x96  6 Zn 2.52-2.82

Its mass density is 7.295 Mg/m³. Its formation energy is -1.4 eV/f.u.

---

# KErS2O8

KErS2O8 after structural relaxation (PBE, OQMD).

a b c (Å): 5.3890 13.2334 9.9471
angles (deg): 90.00 119.89 90.00
Closest atoms and distances in Å follow each position.
Space group P2_1/c (No. 14)
Unique sites:
K  0.0806  0.0884  0.3352 x4  4 O 2.58-2.78
Er  0.4143  0.6484  0.6955 x4  7 O 2.22-2.46
S  0.1437  0.6600  0.8968 x4  4 O 1.47-1.50
S  0.3295  0.1159  0.0781 x4  4 O 1.48
O  0.0244  0.0948  0.9684 x4  1 S 1.48
O  0.0779  0.7303  0.7678 x4  1 S 1.48
O  0.1119  0.0974  0.6379 x4  1 S 1.49
O  0.2454  0.7097  0.0474 x4  1 S 1.47
O  0.3523  0.2162  0.1489 x4  1 S 1.48
O  0.3734  0.5915  0.9057 x4  1 S 1.50
O  0.4453  0.0369  0.2000 x4  1 S 1.48
O  0.4932  0.1157  0.9948 x4  1 S 1.48

Its mass density is 4.304 Mg/m³.

---

What did we get for uncorrected energy? Answer: -5.83, -6.39, -7.55, -3.98, -6.14, -4.63, -5.96, -3.45, -2.87, -7.05, -2.92, -1.68, -7.87, -4.03, -7.27, -7.93, -4.69, -4.16, -1.64, -6.54 eV/atom, in the order shown.